Entry 1:
The following is a DFT calculation (PBE) of a geometry-optimized Ti4Ga2Ir structure.

Values from the calculation:
* offset from the most stable computed form: 553 meV per atom
* total magnetic moment: 0.0 μB/f.u.
* Fermi-level density of states: 9.22 states/eV/f.u.
* V: 146.3 Å³ per cell

Unit cell a=4.6989 b=4.6989 c=7.4111 alpha=71.52 beta=71.52 gamma=90.00
Positions (direct):
Ti (0.8164, 0.8164, 0.3672)
Ti (0.1836, 0.1836, 0.6328)
Ti (0.0000, 0.5000, 0.0000)
Ti (0.5000, 0.0000, 0.0000)
Ga (0.3793, 0.3793, 0.2413)
Ga (0.6207, 0.6207, 0.7587)
Ir (0.0000, 0.0000, 0.0000)

Entry 2:
The following is a DFT calculation (PBE) of a geometry-optimized Zr2TiBeGa structure.

Values from the calculation:
* total magnetic moment: 0.0 μB/f.u.
* DFT total energy: -5.553 eV per atom
* Fermi-level density of states: 3.93 states/eV/f.u.
* V: 115.8 Å³ per cell

Unit cell a=4.9770 b=4.6746 c=4.9770 alpha=90.00 beta=90.00 gamma=90.00
Positions (direct):
Zr (0.5000, 0.0000, 0.0000)
Zr (0.0000, 0.0000, 0.5000)
Be (0.5000, 0.5000, 0.5000)
Ti (0.0000, 0.5000, 0.0000)
Ga (0.0000, 0.0000, 0.0000)

Entry 3:
The following is a DFT calculation (PBE) of a geometry-optimized CaSc2Os structure.

Values from the calculation:
* offset from the most stable computed form: 224 meV per atom
* total magnetic moment: 0.0 μB/f.u.
* Fermi-level density of states: 3.93 states/eV/f.u.
* V: 100.3 Å³ per cell

Unit cell a=5.1511 b=5.1511 c=6.1179 alpha=63.95 beta=63.95 gamma=44.60
Positions (direct):
Sc (0.0544, 0.0544, 0.8850)
Sc (0.2604, 0.2604, 0.1771)
Os (0.7352, 0.7352, 0.9265)
Ca (0.4500, 0.4500, 0.5115)

Entry 4:
The following is a DFT calculation (PBE) of a geometry-optimized NpIn2Te4 structure.

Values from the calculation:
* formation energy (no corrections): -0.191 eV/atom
* total magnetic moment: 4.5 μB/f.u.
* Fermi-level density of states: 9.95 states/eV/f.u.
* V: 258.8 Å³ per cell

Unit cell a=6.9796 b=6.9796 c=6.9796 alpha=106.08 beta=106.08 gamma=116.49
Positions (direct):
In (0.7500, 0.2500, 0.5000)
In (0.2500, 0.7500, 0.5000)
Te (0.6999, 0.8206, 0.5205)
Te (0.1794, 0.6999, 0.8793)
Te (0.8206, 0.3001, 0.1207)
Te (0.3001, 0.1794, 0.4795)
Np (0.5000, 0.5000, 0.0000)

Entry 5:
The following is a DFT calculation (PBE) of a geometry-optimized LiCa2AuF structure.

Values from the calculation:
* formation energy (no corrections): -1.422 eV/atom
* total magnetic moment: 0.0 μB/f.u.
* Fermi-level density of states: 4.42 states/eV/f.u.
* V: 100.6 Å³ per cell

Unit cell a=5.0512 b=5.0512 c=3.9427 alpha=90.00 beta=90.00 gamma=90.00
Positions (direct):
F (0.0000, 0.0000, 0.0000)
Au (0.5000, 0.5000, 0.5000)
Ca (0.0000, 0.5000, 0.0000)
Ca (0.5000, 0.0000, 0.0000)
Li (0.0000, 0.0000, 0.5000)

Entry 6:
The following is a DFT calculation (PBE) of a geometry-optimized Rh5W3 structure.

Values from the calculation:
* offset from the most stable computed form: 207 meV per atom
* total magnetic moment: 0.0 μB/f.u.
* Fermi-level density of states: 7.29 states/eV/f.u.
* V: 245.1 Å³ per cell

Unit cell a=7.3724 b=5.2207 c=7.3743 alpha=110.73 beta=82.18 gamma=112.60
Positions (direct):
Rh (0.8932, 0.9024, 0.6873)
Rh (0.2674, 0.0875, 0.8831)
Rh (0.6527, 0.1986, 0.8047)
Rh (0.8932, 0.7151, 0.3127)
Rh (0.6527, 0.8939, 0.1953)
Rh (0.1844, 0.2312, 0.2852)
Rh (0.1844, 0.4460, 0.7148)
Rh (0.5311, 0.6972, 0.5000)
Rh (0.2674, 0.7044, 0.1169)
Rh (0.4753, 0.1877, 0.5000)
W (0.5449, 0.6462, 0.8428)
W (0.1813, 0.7510, 0.5000)
W (0.5449, 0.3033, 0.1572)
W (0.9392, 0.6971, 0.9554)
W (0.9392, 0.2417, 0.0446)
W (0.8552, 0.3035, 0.5000)

Entry 7:
The following is a DFT calculation (PBE) of a geometry-optimized CrPAu2 structure.

Values from the calculation:
* total magnetic moment: 3.6 μB/f.u.
* DFT total energy: -5.185 eV per atom
* Fermi-level density of states: 1.36 states/eV/f.u.
* V: 67.3 Å³ per cell

Unit cell a=5.2959 b=5.2959 c=5.2959 alpha=137.39 beta=137.39 gamma=61.84
Positions (direct):
Au (0.5000, 0.5000, 0.0000)
Au (0.0000, 0.0000, 0.0000)
P (0.7500, 0.2500, 0.5000)
Cr (0.2500, 0.7500, 0.5000)

Entry 8:
The following is a DFT calculation (PBE) of a geometry-optimized CeUCuRh structure.

Values from the calculation:
* total magnetic moment: 2.1 μB/f.u.
* DFT total energy: -7.442 eV per atom
* Fermi-level density of states: 10.64 states/eV/f.u.
* V: 72.4 Å³ per cell

Unit cell a=4.6790 b=4.6790 c=4.6790 alpha=60.00 beta=60.00 gamma=60.00
Positions (direct):
U (0.5000, 0.5000, 0.5000)
Ce (0.2500, 0.2500, 0.2500)
Rh (0.7500, 0.7500, 0.7500)
Cu (0.0000, 0.0000, 0.0000)